# 1
Below is an optimized crystal structure of Zr4Cd3, with properties calculated at the GGA-PBE level.

Computed properties:
* energy relative to the elements: -46 meV/atom
* crystal system: hexagonal
* DFT total energy: -0.19526 hartree per atom
* ΔE to the lowest computed polymorph: 0.0 meV per atom

```
14
Lattice="8.466 0.000 0.000 -4.233 7.332 0.000 0.000 0.000 4.980" Properties=species:S:1:pos:R:3 pbc="T T T"
Zr -1.158 3.454 1.245
Zr 0.000 4.888 3.735
Zr -0.663 6.608 1.245
Zr 2.412 2.729 3.735
Zr 1.821 4.603 1.245
Zr 4.897 0.724 3.735
Zr 4.233 2.444 1.245
Zr 5.391 3.879 3.735
Cd -0.595 1.726 3.735
Cd -2.441 6.985 3.735
Cd 1.197 1.378 1.245
Cd 3.036 5.954 3.735
Cd 6.674 0.348 1.245
Cd 4.828 5.606 1.245
```

# 2
Below is an optimized crystal structure of ZrCd, with properties calculated at the GGA-PBE level.

Computed properties:
* energy relative to the elements: 34 meV/atom
* crystal system: orthorhombic
* DFT total energy: -0.17227 hartree per atom

```
16
Lattice="5.045 0.000 0.000 0.000 12.653 0.000 0.000 0.000 5.542" Properties=species:S:1:pos:R:3 pbc="T T T"
Zr 1.261 0.031 0.799
Zr 1.261 1.465 3.726
Zr 1.261 4.861 3.726
Zr 1.261 6.295 0.799
Zr 3.784 6.358 4.743
Zr 3.784 7.792 1.816
Zr 3.784 11.188 1.816
Zr 3.784 12.622 4.743
Cd 1.261 3.163 0.939
Cd 1.261 7.904 3.624
Cd 1.261 9.490 0.963
Cd 1.261 11.076 3.624
Cd 3.784 1.577 1.918
Cd 3.784 3.163 4.579
Cd 3.784 4.750 1.918
Cd 3.784 9.490 4.603
```

- Which formula does entry 2 have?
  ZrCd

- Look up the energy relative to the elements of the second one.
  34 meV/atom

- Number 1 is which compound?
  Zr4Cd3

- What is the formula in the second record?
  ZrCd